(1)
The following is a DFT calculation (GGA-PBE) of crystalline NdSmEu at its relaxed geometry.

Lattice parameters (Å, degrees): 3.726 3.726 8.319 102.94 102.94 90.00
Element x y z (fractional)
1 Eu 0.999 0.999 0.999
2 Nd 0.674 0.674 0.348
3 Sm 0.327 0.327 0.653

Results
* uncorrected energy: -6.556 eV/atom
* formation energy from the elements: 0.031 eV per atom

***

(2)
The following is a DFT calculation (GGA-PBE) of crystalline Nd2SmEu at its relaxed geometry.

Lattice parameters (Å, degrees): 5.885 5.885 5.885 60.00 60.00 60.00
Element x y z (fractional)
1 Eu 0.000 0.000 0.000
2 Nd 0.250 0.250 0.250
3 Nd 0.750 0.750 0.750
4 Sm 0.500 0.500 0.500

Results
* uncorrected energy: -5.995 eV/atom
* formation energy from the elements: 0.137 eV per atom